Record 1
Computed, not measured: NbFeSi2 at its PBEsol-relaxed geometry at the SCAN level of DFT.

Summary:
ΔE_f (raw): -0.516 eV/atom
VASP energy: -18.339 eV/atom
Spin magnetization: 0.0 μB per cell
Crystal system: orthorhombic

Unit cell a=8.600 b=9.612 c=7.504 alpha=90.00 beta=90.00 gamma=90.00
Space group Pbam (No. 55)
Inequivalent atoms, fractional coordinates:
Nb1 0.168 0.182 0.000 (multiplicity 4)
Nb2 0.171 0.452 0.245 (multiplicity 8)
Fe1 0.000 0.000 0.246 (multiplicity 4)
Fe2 0.091 0.747 0.249 (multiplicity 8)
Si1 0.040 0.619 0.000 (multiplicity 4)
Si2 0.043 0.622 0.500 (multiplicity 4)
Si3 0.116 0.899 0.500 (multiplicity 4)
Si4 0.122 0.897 0.000 (multiplicity 4)
Si5 0.161 0.181 0.344 (multiplicity 8)


Record 2
Computed, not measured: Nb4Fe3Si5 at its PBEsol-relaxed geometry at the SCAN level of DFT.

Summary:
ΔE_f (raw): -0.524 eV/atom
VASP energy: -20.273 eV/atom
Spin magnetization: 8.8 μB per cell
Crystal system: orthorhombic

Unit cell a=7.584 b=4.903 c=8.389 alpha=90.00 beta=90.00 gamma=90.00
Space group Amm2 (No. 38)
Inequivalent atoms, fractional coordinates:
Nb1 0.182 0.000 0.000 (multiplicity 4)
Nb2 0.314 0.000 0.666 (multiplicity 4)
Fe1 0.246 0.000 0.336 (multiplicity 4)
Fe2 0.500 0.000 0.164 (multiplicity 2)
Si1 0.000 0.000 0.504 (multiplicity 2)
Si2 0.000 0.249 0.751 (multiplicity 4)
Si3 0.500 0.248 0.918 (multiplicity 4)


Record 3
Computed, not measured: NbFeSn3 at its PBEsol-relaxed geometry at the SCAN level of DFT.

Summary:
VASP energy: -30.942 eV/atom
Relative energy among the computed polymorphs: 0.098 eV/atom
Spin magnetization: 4.7 μB per cell
Crystal system: cubic
Formation enthalpy at 0 K: 862.6 meV per atom

Unit cell a=5.281 b=5.281 c=5.281 alpha=90.00 beta=90.00 gamma=90.00
Space group Pm-3m (No. 221)
Inequivalent atoms, fractional coordinates:
Nb1 0.000 0.000 0.000 (multiplicity 1)
Fe1 0.500 0.500 0.500 (multiplicity 1)
Sn1 0.000 0.000 0.500 (multiplicity 3)


Question: VASP energy of number 3 (NbFeSn3)?
Answer: -30.942 eV/atom


Question: What is the formula in the third record?
Answer: NbFeSn3


Question: Which of these has the highest spin magnetization?
Answer: Nb4Fe3Si5


Question: Look up the VASP energy of the first one.
Answer: -18.339 eV/atom